First-principles (PBE) data for an optimized crystal structure of Pm2Ga4SnIr3, as listed in the Alexandria database.

POSCAR file:
```
Pm2Ga4SnIr3
1.0
4.1746 0.0000 0.0000
0.0000 4.1746 0.0000
0.0000 0.0000 11.2480
Pm Ga Sn Ir
2 4 1 3
Cartesian
2.0873 0.0000 2.6607
0.0000 2.0873 8.5874
2.0873 2.0873 0.0000
0.0000 0.0000 0.0000
2.0873 0.0000 7.3171
0.0000 2.0873 3.9310
2.0873 2.0873 5.6240
0.0000 0.0000 5.6240
2.0873 0.0000 9.7887
0.0000 2.0873 1.4593
```

Summary:
Theoretical density, g/cm3: 10.71
Energy of formation from the pure elements, eV per atom: -0.602
Calculated volume, A^3/atom: 19.6